VASP calculation (GGA+U) on CrRuIO2 after structural relaxation.

Calculated values
- Offset from the most stable computed form: 0 meV/atom
- Density: 4.93 g/cm3
- Symmetry: P4/mmm
- N(E_F): 0.6647 states/eV/atom

Lattice parameters (Å, degrees): 3.8282 3.8282 7.1733 90.00 90.00 90.00
Element x y z (fractional)
Cr (0.0000, 0.0000, 0.0000)
Ru (0.5000, 0.5000, 0.5000)
I (0.5000, 0.5000, 0.0000)
O (0.0000, 0.5000, 0.5000)
O (0.5000, 0.0000, 0.5000)